(i)
PBE Tb3Ho5Er2, optimized geometry; N(E_F) = 1.78 states/eV/atom; calculated density = 8.472 Mg/m³; total magnetic moment = 0.00 μB/atom; symmetry = No. 15
1.0
8.393 1.627 -3.933
0.309 8.490 -3.995
-1.805 -1.999 10.663
Tb Ho Er
6 10 4
Direct
0.233 0.983 0.965
0.767 0.017 0.035
0.733 0.476 0.255
0.267 0.524 0.745
0.022 0.779 0.255
0.978 0.221 0.745
0.270 0.520 0.041
0.730 0.480 0.959
0.028 0.778 0.556
0.530 0.280 0.560
0.972 0.222 0.444
0.470 0.720 0.440
0.853 0.605 0.725
0.147 0.395 0.275
0.371 0.120 0.725
0.629 0.880 0.275
0.772 0.014 0.738
0.228 0.986 0.262
0.466 0.724 0.738
0.534 0.276 0.262

(ii)
PBE Tb3Ho5Er2, optimized geometry; N(E_F) = 1.63 states/eV/atom; calculated density = 8.186 Mg/m³; total magnetic moment = 0.00 μB/atom; symmetry = No. 72
1.0
6.222 0.000 0.000
3.111 10.142 -2.813
3.111 -0.021 10.525
Tb Ho Er
6 10 4
Direct
0.250 0.000 0.000
0.750 0.000 0.000
0.341 0.408 0.910
0.659 0.592 0.090
0.841 0.910 0.408
0.159 0.090 0.592
0.250 0.500 0.500
0.750 0.500 0.500
0.500 0.750 0.750
0.000 0.250 0.250
0.500 0.250 0.250
0.000 0.750 0.750
0.099 0.558 0.245
0.901 0.442 0.755
0.599 0.245 0.558
0.401 0.755 0.442
0.100 0.744 0.057
0.900 0.256 0.943
0.600 0.057 0.744
0.400 0.943 0.256

Relative energy table, unit meV/atom: (i) 0; (ii) 153

(i)
PBE Tb7Ho2Er, optimized geometry; N(E_F) = 1.25 states/eV/atom; calculated density = 6.927 Mg/m³; total magnetic moment = 0.00 μB/atom; symmetry = No. 65
1.0
5.256 0.000 0.000
0.000 9.484 -0.743
0.000 -4.942 8.129
Tb Ho Er
7 2 1
Direct
0.000 0.801 0.199
0.000 0.199 0.801
0.500 0.069 0.288
0.500 0.931 0.712
0.500 0.288 0.069
0.500 0.712 0.931
0.500 0.500 0.500
0.500 0.702 0.298
0.500 0.298 0.702
0.000 0.000 0.000

(ii)
PBE Tb7Ho2Er, optimized geometry; N(E_F) = 1.71 states/eV/atom; calculated density = 8.457 Mg/m³; total magnetic moment = 0.00 μB/atom; symmetry = No. 71
1.0
5.132 -1.506 0.883
-2.889 7.462 -3.775
1.243 -0.024 9.357
Tb Ho Er
7 2 1
Direct
0.000 0.801 0.602
0.000 0.199 0.398
0.251 0.642 0.782
0.749 0.358 0.218
0.250 0.859 0.218
0.750 0.141 0.782
0.500 0.500 0.000
0.500 0.700 0.399
0.500 0.300 0.601
0.000 0.000 0.000

Relative energy table, unit meV/atom: (i) 636; (ii) 0

(i)
PBE TbHoEr5, optimized geometry; N(E_F) = 1.19 states/eV/atom; calculated density = 8.846 Mg/m³; total magnetic moment = 0.00 μB/atom; symmetry = No. 15
1.0
0.329 -6.326 2.072
3.981 -4.330 -3.135
11.234 -4.092 6.310
Tb Ho Er
2 2 10
Direct
0.722 0.278 0.750
0.278 0.722 0.250
0.000 0.000 0.000
0.000 0.000 0.500
0.165 0.389 0.753
0.655 0.690 0.499
0.389 0.165 0.253
0.165 0.835 0.750
0.310 0.345 0.001
0.690 0.655 0.999
0.835 0.165 0.250
0.611 0.835 0.747
0.345 0.310 0.501
0.835 0.611 0.247

(ii)
PBE TbHoEr5, optimized geometry; N(E_F) = 1.01 states/eV/atom; calculated density = 6.650 Mg/m³; total magnetic moment = 0.00 μB/atom; symmetry = No. 71
1.0
-5.586 1.108 0.621
-3.343 -4.915 5.115
-1.523 3.216 6.988
Tb Ho Er
1 1 5
Direct
0.000 0.000 0.000
0.500 0.500 0.500
0.500 0.178 0.822
0.500 0.822 0.178
0.744 0.256 0.256
0.256 0.744 0.744
0.000 0.500 0.500

Relative energy table, unit meV/atom: (i) 0; (ii) 942

(i)
PBE Tb4HoEr3, optimized geometry; N(E_F) = 1.44 states/eV/atom; calculated density = 8.454 Mg/m³; total magnetic moment = 0.00 μB/atom; symmetry = No. 65
1.0
5.471 0.000 -1.090
-0.065 3.537 -0.325
-0.222 1.206 13.149
Tb Ho Er
4 1 3
Direct
0.603 0.500 0.206
0.397 0.500 0.794
0.277 0.499 0.554
0.723 0.501 0.446
0.500 0.000 0.000
0.000 0.500 0.000
0.846 0.000 0.692
0.154 0.000 0.308

(ii)
PBE Tb4HoEr3, optimized geometry; N(E_F) = 1.63 states/eV/atom; calculated density = 8.572 Mg/m³; total magnetic moment = 0.00 μB/atom; symmetry = No. 31
1.0
-4.711 -2.965 2.835
-1.480 -3.515 -6.136
6.976 -8.201 3.016
Tb Ho Er
8 2 6
Direct
0.147 0.874 0.000
0.648 0.126 0.000
0.981 0.126 0.250
0.481 0.874 0.250
0.148 0.874 0.500
0.647 0.126 0.500
0.481 0.874 0.750
0.981 0.126 0.750
0.148 0.376 0.000
0.648 0.624 0.500
0.648 0.624 0.000
0.981 0.624 0.250
0.481 0.376 0.250
0.148 0.376 0.500
0.481 0.376 0.750
0.981 0.624 0.750

Relative energy table, unit meV/atom: (i) 197; (ii) 0

(i)
PBE TbHo3Er4, optimized geometry; N(E_F) = 1.61 states/eV/atom; calculated density = 8.833 Mg/m³; total magnetic moment = 0.00 μB/atom; symmetry = No. 31
1.0
-5.497 2.210 1.897
-2.274 -6.713 1.231
3.839 0.608 10.412
Tb Ho Er
2 6 8
Direct
0.148 0.374 0.000
0.648 0.626 0.500
0.648 0.626 0.000
0.981 0.626 0.250
0.481 0.374 0.250
0.148 0.374 0.500
0.481 0.374 0.750
0.981 0.626 0.750
0.147 0.876 0.000
0.648 0.124 0.000
0.981 0.124 0.251
0.481 0.876 0.249
0.148 0.876 0.500
0.647 0.124 0.500
0.481 0.876 0.751
0.981 0.124 0.749

(ii)
PBE TbHo3Er4, optimized geometry; N(E_F) = 1.44 states/eV/atom; calculated density = 8.687 Mg/m³; total magnetic moment = 0.00 μB/atom; symmetry = No. 65
1.0
5.455 0.000 -1.087
-0.063 3.501 -0.314
-0.211 1.180 13.170
Tb Ho Er
1 3 4
Direct
0.500 0.000 0.000
0.000 0.500 0.000
0.844 0.999 0.689
0.156 0.001 0.311
0.604 0.500 0.208
0.396 0.500 0.792
0.277 0.500 0.553
0.723 0.500 0.447

Relative energy table, unit meV/atom: (i) 0; (ii) 211